Entry 1:
The following is a DFT calculation (PBE) of a geometry-optimized HfPRh structure.

Total DFT energy (no corrections)   -0.323 Ha/atom
Crystal system   monoclinic
DFT formation energy   -1.222 eV per atom
Symmetry   P2_1/m (11)

extended XYZ file:
```
18
Lattice="6.4758 0.0000 0.0000 0.0000 3.8029 0.0000 -0.0653 0.0000 11.1172" Properties=species:S:1:pos:R:3 pbc="T T T"
Hf 0.1885 0.9507 2.3421
Hf 2.1918 2.8522 6.4405
Hf 2.9677 2.8522 9.7841
Hf 3.4428 0.9507 1.3331
Hf 4.2187 0.9507 4.6766
Hf 6.2220 2.8522 8.7751
P 1.5510 0.9507 4.6499
P 1.5803 2.8522 0.9384
P 1.6596 0.9507 8.3443
P 4.7509 2.8522 2.7729
P 4.8302 0.9507 10.1787
P 4.8595 2.8522 6.4673
Rh 0.0325 0.9507 6.5916
Rh 0.9012 0.9507 10.6541
Rh 2.3981 2.8522 3.2651
Rh 4.0124 0.9507 7.8521
Rh 5.5093 2.8522 0.4631
Rh 6.3780 2.8522 4.5255
```

***

Entry 2:
The following is a DFT calculation (PBE) of a geometry-optimized HfPRh3 structure.

Total DFT energy (no corrections)   -0.234 Ha/atom
Crystal system   cubic
E above lowest polymorph   1463 meV/atom
DFT formation energy   1.122 eV per atom
Symmetry   Pm-3m (221)

extended XYZ file:
```
5
Lattice="4.7496 0.0000 0.0000 0.0000 4.7496 0.0000 0.0000 0.0000 4.7496" Properties=species:S:1:pos:R:3 pbc="T T T"
Hf 0.0000 0.0000 0.0000
P 2.3748 2.3748 2.3748
Rh 0.0000 0.0000 2.3748
Rh 0.0000 2.3748 0.0000
Rh 2.3748 0.0000 0.0000
```

***

Entry 3:
The following is a DFT calculation (PBE) of a geometry-optimized HfP3Rh structure.

Total DFT energy (no corrections)   -0.231 Ha/atom
Crystal system   cubic
E above lowest polymorph   0 meV/atom
DFT formation energy   0.433 eV per atom
Symmetry   Pm-3m (221)

extended XYZ file:
```
5
Lattice="4.5575 0.0000 0.0000 0.0000 4.5575 0.0000 0.0000 0.0000 4.5575" Properties=species:S:1:pos:R:3 pbc="T T T"
Hf 0.0000 0.0000 0.0000
P 0.0000 2.2787 2.2787
P 2.2787 0.0000 2.2787
P 2.2787 2.2787 0.0000
Rh 2.2787 2.2787 2.2787
```